DFT (PBE) results for a geometry-optimized SiNi2Os structure. Values from VASP.

The structure in Quantum ESPRESSO input format:
```
&SYSTEM
  ibrav = 0, nat = 4, ntyp = 3
/
ATOMIC_SPECIES
Ni 58.69 Ni.upf
Os 190.23 Os.upf
Si 28.09 Si.upf
CELL_PARAMETERS angstrom
3.8055 0.0000 0.0000
0.0000 2.6630 0.0067
0.0000 1.3744 4.7913
ATOMIC_POSITIONS crystal
Ni 0.0000 0.8944 0.9867
Ni 0.0000 0.6056 0.5133
Os 0.5000 0.2500 0.2500
Si 0.5000 0.7500 0.7500
```

- formation energy (no corrections) (eV per atom) = -0.087
- E_tot (eV/atom) = -7.14

---

DFT (PBE) results for a geometry-optimized YPtSe2 structure. Values from VASP.

The structure in Quantum ESPRESSO input format:
```
&SYSTEM
  ibrav = 0, nat = 4, ntyp = 3
/
ATOMIC_SPECIES
Se 78.96 Se.upf
Pt 195.08 Pt.upf
Y 88.91 Y.upf
CELL_PARAMETERS angstrom
5.2757 0.0006 -0.0006
1.2020 5.1370 0.0006
-2.7641 -3.1674 3.1876
ATOMIC_POSITIONS crystal
Se 0.4412 0.4412 0.0000
Se 0.0588 0.0588 0.0000
Pt 0.2500 0.7500 0.5000
Y 0.7500 0.2500 0.5000
```

- formation energy (no corrections) (eV per atom) = -0.891
- E_tot (eV/atom) = -5.76

---

DFT (PBE) results for a geometry-optimized CrIr2Se structure. Values from VASP.

The structure in Quantum ESPRESSO input format:
```
&SYSTEM
  ibrav = 0, nat = 4, ntyp = 3
/
ATOMIC_SPECIES
Ir 192.22 Ir.upf
Se 78.96 Se.upf
Cr 52.00 Cr.upf
CELL_PARAMETERS angstrom
-4.1704 -0.4756 0.3008
-0.1242 -0.6746 -2.7886
0.5662 -5.1753 -0.3336
ATOMIC_POSITIONS crystal
Ir 0.0000 0.1301 0.0057
Ir 0.0000 0.3699 0.4943
Se 0.5000 0.2500 0.2500
Cr 0.5000 0.7500 0.7500
```

- formation energy (no corrections) (eV per atom) = 0.283
- E_tot (eV/atom) = -7.42

---

DFT (PBE) results for a geometry-optimized In3Hg7I structure. Values from VASP.

The structure in Quantum ESPRESSO input format:
```
&SYSTEM
  ibrav = 0, nat = 11, ntyp = 3
/
ATOMIC_SPECIES
Hg 200.59 Hg.upf
In 114.82 In.upf
I 126.90 I.upf
CELL_PARAMETERS angstrom
5.9788 0.0000 0.0000
0.0000 7.9854 0.0000
0.0000 -3.9927 6.9155
ATOMIC_POSITIONS crystal
Hg 0.4763 0.8678 0.7356
Hg 0.0223 0.7356 0.8678
Hg 0.4763 0.8678 0.1322
Hg 0.0223 0.1322 0.2644
Hg 0.0223 0.1322 0.8678
Hg 0.2435 0.6667 0.3333
Hg 0.4763 0.2644 0.1322
In 0.8075 0.5227 0.0453
In 0.8075 0.9547 0.4773
In 0.8075 0.5227 0.4773
I 0.4532 0.3333 0.6667
```

- formation energy (no corrections) (eV per atom) = -0.033
- E_tot (eV/atom) = -1.11